The following is a PBE calculation of an optimized crystal structure of Li2ErHfS4, from Alexandria.

The space group is P2/m (No. 10) and the conventional cell measures 6.4761, 3.7105 and 6.5416 Å, with angles of 90.00, 109.07 and 90.00 degrees. The distinct sites, in fractional coordinates, are Li at (0.0000, 0.0000, 0.0000), Li at (0.5000, 0.5000, 0.0000), Er at (0.0000, 0.5000, 0.5000), Hf at (0.5000, 0.0000, 0.5000), S at (0.2623, 0.5000, 0.2537) and S at (0.2630, 0.0000, 0.7518).

As for the uncorrected formation energy: -1656 meV/atom. Its density of states at the Fermi level is 0.299 states/eV per atom. As for the size of the total moment: 0.00 μB per formula unit.

The following is a PBE calculation of an optimized crystal structure of In2GaSiAs, from Alexandria.

The space group is P4/mmm (No. 123) and the conventional cell measures 5.4595, 5.4595 and 4.8906 Å, with angles of 90.00, 90.00 and 90.00 degrees. The distinct sites, in fractional coordinates, are In at (0.0000, 0.5000, 0.0000), Ga at (0.0000, 0.0000, 0.5000), Si at (0.5000, 0.5000, 0.5000) and As at (0.5000, 0.5000, 0.0000).

As for the uncorrected formation energy: 639 meV/atom. Its density of states at the Fermi level is 0.984 states/eV per atom. As for the size of the total moment: 0.00 μB per formula unit.

The following is a PBE calculation of an optimized crystal structure of Ti2V2W5, from Alexandria.

The space group is C2 (No. 5) and the conventional cell measures 14.4550, 5.1918 and 9.3131 Å, with angles of 90.00, 120.13 and 90.00 degrees. The distinct sites, in fractional coordinates, are Ti at (0.0000, 0.0000, 0.0000), Ti at (0.0000, 0.4643, 0.5000), Ti at (0.2383, 0.0170, 0.2523), V at (0.1011, 0.9673, 0.6341), V at (0.1237, 0.4861, 0.1203), W at (0.0328, 0.2392, 0.2733), W at (0.0832, 0.7568, 0.3462), W at (0.1110, 0.7096, 0.8733), W at (0.1821, 0.2001, 0.9296) and W at (0.2437, 0.0254, 0.5645).

Its density of states at the Fermi level is 1.109 states/eV per atom. As for the size of the total moment: 0.00 μB per formula unit. For the energy of formation, the calculation gives 0.391 eV/atom.

The following is a PBE calculation of an optimized crystal structure of BaCrTe, from Alexandria.

The space group is F-43m (No. 216) and the conventional cell measures 7.9681, 7.9681 and 7.9681 Å, with angles of 90.00, 90.00 and 90.00 degrees. The distinct sites, in fractional coordinates, are Ba at (0.0000, 0.0000, 0.0000), Cr at (0.2500, 0.2500, 0.7500) and Te at (0.2500, 0.2500, 0.2500).

As for the uncorrected formation energy: 124 meV/atom. Its density of states at the Fermi level is 0.291 states/eV per atom. As for the size of the total moment: 5.92 μB per formula unit. Its energy above the most stable polymorph in this dataset is 550 meV/atom.

Sequential energy output: -6.012; -3.076; -10.586; -4.772 eV per atom